[1]
Below is a crystal of Y2Ga2O relaxed with PBEsol, with properties calculated at the SCAN level.

Calculated values
Its space group is I4/mmm, No. 139. The value obtained for the calculated density is 5.11 g/cm³. As for the density of states at the Fermi level: 2.77 states/eV/f.u. The raw total energy is -19.249 eV/atom.

```
5
Lattice="-2.8830 2.8830 3.2590 2.8830 -2.8830 3.2590 2.8830 2.8830 -3.2590" Properties=species:S:1:pos:R:3 pbc="T T T"
Y 2.8830 0.0000 1.6295
Y 0.0000 2.8830 1.6295
Ga 0.0000 0.0000 1.2352
Ga 0.0000 0.0000 5.2829
O 0.0000 0.0000 3.2590
```

=====

[2]
Below is a crystal of ZrGaO3 relaxed with PBEsol, with properties calculated at the SCAN level.

Calculated values
Its space group is Pm-3m, No. 221. The value obtained for the calculated density is 5.01 g/cm³. As for the density of states at the Fermi level: 2.59 states/eV/f.u. The raw total energy is -15.260 eV/atom.

```
5
Lattice="4.1079 0.0000 0.0000 0.0000 4.1079 0.0000 0.0000 0.0000 4.1079" Properties=species:S:1:pos:R:3 pbc="T T T"
Zr 0.0000 0.0000 0.0000
Ga 2.0540 2.0540 2.0540
O 0.0000 0.0000 2.0540
O 0.0000 2.0540 0.0000
O 2.0540 0.0000 0.0000
```

=====

The records above give, respectively, volume values of 21.67; 13.86 Å³ per atom.